The following is a PBE calculation of Sc2IrOs after structural relaxation, from Alexandria.

Cell: 5.352 5.352 5.352 Å, 137.89 137.89 61.07°
Positions (direct):
Sc1 0.250 0.750 0.500
Os1 0.750 0.250 0.500
Ir1 0.500 0.500 0.000
Sc2 0.000 0.000 0.000

## Properties
* formation energy: -39 kJ per mole of atoms
* M_tot: 0.000 μB per atom
* calculated volume: 17.04 Å³/atom



The following is a PBE calculation of Sc2IrOs after structural relaxation, from Alexandria.

Cell: 9.719 9.719 9.719 Å, 17.20 17.20 17.20°
Site moments in Bohr magnetons follow the coordinates.
Positions (direct):
Sc1 0.758 0.758 0.758  0.25
Os1 0.245 0.245 0.245  0.02
Ir1 0.504 0.504 0.504  0.01
Sc2 0.993 0.993 0.993  0.21

## Properties
* formation energy: 13 kJ per mole of atoms
* M_tot: 0.167 μB per atom
* calculated volume: 17.50 Å³/atom



The following is a PBE calculation of ScIrOs after structural relaxation, from Alexandria.

Cell: 4.445 4.445 2.784 Å, 90.00 90.00 120.00°
Positions (direct):
Ir1 0.000 0.000 0.968
Os1 0.667 0.333 0.371
Sc1 0.333 0.667 0.661

## Properties
* ΔE to the lowest computed polymorph: 300.5 meV per atom
* formation energy: 0 kJ per mole of atoms
* M_tot: 0.000 μB per atom
* calculated volume: 15.88 Å³/atom



The following is a PBE calculation of Sc4IrOs3 after structural relaxation, from Alexandria.

Cell: 3.215 3.215 12.919 Å, 90.00 90.00 90.00°
Positions (direct):
Ir1 0.500 0.500 0.000
Sc1 0.000 0.000 0.625
Sc2 0.000 0.000 0.375
Os1 0.500 0.500 0.250
Sc3 0.000 0.000 0.872
Os2 0.500 0.500 0.500
Os3 0.500 0.500 0.750
Sc4 0.000 0.000 0.128

## Properties
* formation energy: -50 kJ per mole of atoms
* M_tot: 0.000 μB per atom
* calculated volume: 16.69 Å³/atom



The following is a PBE calculation of Sc4Ir3Os after structural relaxation, from Alexandria.

Cell: 3.223 3.223 12.882 Å, 90.00 90.00 90.00°
Positions (direct):
Sc1 0.000 0.000 0.626
Sc2 0.000 0.000 0.374
Ir1 0.500 0.500 0.500
Os1 0.500 0.500 0.000
Ir2 0.500 0.500 0.251
Sc3 0.000 0.000 0.879
Ir3 0.500 0.500 0.749
Sc4 0.000 0.000 0.121

## Properties
* formation energy: -84 kJ per mole of atoms
* M_tot: 0.000 μB per atom
* calculated volume: 16.73 Å³/atom



The following is a PBE calculation of Sc6IrOs2 after structural relaxation, from Alexandria.

Cell: 4.494 4.494 10.066 Å, 102.90 102.90 90.00°
Positions (direct):
Sc1 0.750 0.250 0.500
Sc2 0.916 0.416 0.831
Sc3 0.250 0.750 0.500
Sc4 0.416 0.916 0.831
Sc5 0.084 0.584 0.169
Sc6 0.584 0.084 0.169
Ir1 0.000 0.000 0.000
Os1 0.666 0.666 0.332
Os2 0.334 0.334 0.668

## Properties
* formation energy: -40 kJ per mole of atoms
* M_tot: 0.000 μB per atom
* calculated volume: 21.43 Å³/atom



The following is a PBE calculation of ScIrOs after structural relaxation, from Alexandria.

Cell: 5.090 5.090 5.090 Å, 147.62 134.90 56.60°
Positions (direct):
Os1 0.357 0.357 0.000
Ir1 0.976 0.976 0.000
Sc1 0.667 0.667 0.000

## Properties
* ΔE to the lowest computed polymorph: 150.0 meV per atom
* formation energy: -15 kJ per mole of atoms
* M_tot: 0.000 μB per atom
* calculated volume: 16.55 Å³/atom



The following is a PBE calculation of Sc2IrOs after structural relaxation, from Alexandria.

Cell: 5.338 5.338 4.711 Å, 69.43 69.43 33.38°
Positions (direct):
Ir1 0.514 0.514 0.562
Sc1 0.984 0.984 0.063
Sc2 0.766 0.766 0.687
Os1 0.236 0.236 0.188

## Properties
* formation energy: -47 kJ per mole of atoms
* M_tot: 0.000 μB per atom
* calculated volume: 17.18 Å³/atom



The following is a PBE calculation of Sc2IrOs after structural relaxation, from Alexandria.

Cell: 3.508 3.508 5.799 Å, 90.00 90.00 90.00°
Positions (direct):
Os1 0.500 0.500 0.780
Sc1 0.000 0.000 0.961
Sc2 0.500 0.500 0.291
Ir1 0.000 0.000 0.468

## Properties
* formation energy: -15 kJ per mole of atoms
* M_tot: 0.000 μB per atom
* calculated volume: 17.84 Å³/atom



The following is a PBE calculation of Sc3IrOs after structural relaxation, from Alexandria.

Cell: 4.878 4.878 4.878 Å, 90.00 90.00 90.00°
Positions (direct):
Sc1 0.500 0.000 0.000
Os1 0.000 0.000 0.000
Ir1 0.500 0.500 0.500
Sc2 0.000 0.500 0.000
Sc3 0.000 0.000 0.500

## Properties
* ΔE to the lowest computed polymorph: 0.0 meV per atom
* formation energy: 27 kJ per mole of atoms
* M_tot: 0.000 μB per atom
* calculated volume: 23.21 Å³/atom



The following is a PBE calculation of ScSiIrOs after structural relaxation, from Alexandria.

Cell: 4.349 4.349 4.349 Å, 60.00 60.00 60.00°
Positions (direct):
Sc1 0.750 0.750 0.750
Os1 0.000 0.000 0.000
Si1 0.250 0.250 0.250
Ir1 0.500 0.500 0.500

## Properties
* formation energy without anion corrections: -0.6255 eV/atom
* M_tot: 0.000 μB per atom
* calculated volume: 14.54 Å³/atom



The following is a PBE calculation of ScSnIrOs2 after structural relaxation, from Alexandria.

Cell: 4.780 4.780 4.942 Å, 90.00 90.00 90.00°
Positions (direct):
Sc1 0.500 0.500 0.500
Os1 0.500 0.000 0.000
Os2 0.000 0.500 0.000
Ir1 0.000 0.000 0.000
Sn1 0.000 0.000 0.500

## Properties
* formation energy: 122 kJ per mole of atoms
* M_tot: 0.000 μB per atom
* calculated volume: 22.58 Å³/atom



Please write out number 7 again, unchanged.
The following is a PBE calculation of ScIrOs after structural relaxation, from Alexandria.

Cell: 5.090 5.090 5.090 Å, 147.62 134.90 56.60°
Positions (direct):
Os1 0.357 0.357 0.000
Ir1 0.976 0.976 0.000
Sc1 0.667 0.667 0.000

## Properties
* ΔE to the lowest computed polymorph: 150.0 meV per atom
* formation energy: -15 kJ per mole of atoms
* M_tot: 0.000 μB per atom
* calculated volume: 16.55 Å³/atom



What is the formula in the eleventh record?
ScSiIrOs



Repeat the twelfth record exactly.
The following is a PBE calculation of ScSnIrOs2 after structural relaxation, from Alexandria.

Cell: 4.780 4.780 4.942 Å, 90.00 90.00 90.00°
Positions (direct):
Sc1 0.500 0.500 0.500
Os1 0.500 0.000 0.000
Os2 0.000 0.500 0.000
Ir1 0.000 0.000 0.000
Sn1 0.000 0.000 0.500

## Properties
* formation energy: 122 kJ per mole of atoms
* M_tot: 0.000 μB per atom
* calculated volume: 22.58 Å³/atom



Which value of M_tot does entry 10 give?
0.000 μB per atom